Record 1
! PBE Re2IrAu, relaxed; values from VASP
! * formation energy from the elements: 0.3827 eV per atom
! * calculated volume: 15.88 Å³ per atom
! * space-group type: Cmm2
! * energy above the lowest structure with this stoichiometry: 90.9 kJ/mol of formula units
&SYSTEM
  ibrav = 0, nat = 4, ntyp = 3
/
ATOMIC_SPECIES
Au 196.97 Au.upf
Ir 192.22 Ir.upf
Re 186.21 Re.upf
CELL_PARAMETERS angstrom
-2.6738 0.3816 0.4221
1.4060 -1.3131 1.9422
1.8695 8.3515 4.2929
ATOMIC_POSITIONS crystal
Au 0.0000 0.0000 0.5004
Ir 0.5000 0.5000 0.7644
Re 0.0000 0.0000 0.0008
Re 0.5000 0.5000 0.2343

=====

Record 2
! PBE Re2IrAu, relaxed; values from VASP
! * formation energy from the elements: 0.7807 eV per atom
! * calculated volume: 15.72 Å³ per atom
! * space-group type: Fm-3m
! * energy above the lowest structure with this stoichiometry: 244.5 kJ/mol of formula units
&SYSTEM
  ibrav = 0, nat = 4, ntyp = 3
/
ATOMIC_SPECIES
Re 186.21 Re.upf
Ir 192.22 Ir.upf
Au 196.97 Au.upf
CELL_PARAMETERS angstrom
0.0000 3.1559 3.1559
3.1559 0.0000 3.1559
3.1559 3.1559 0.0000
ATOMIC_POSITIONS crystal
Re 0.2500 0.2500 0.2500
Re 0.7500 0.7500 0.7500
Ir 0.0000 0.0000 0.0000
Au 0.5000 0.5000 0.5000

=====

Record 3
! PBE Re2IrAu, relaxed; values from VASP
! * formation energy from the elements: 0.1739 eV per atom
! * calculated volume: 15.53 Å³ per atom
! * space-group type: P4mm
! * energy above the lowest structure with this stoichiometry: 10.3 kJ/mol of formula units
&SYSTEM
  ibrav = 0, nat = 4, ntyp = 3
/
ATOMIC_SPECIES
Au 196.97 Au.upf
Ir 192.22 Ir.upf
Re 186.21 Re.upf
CELL_PARAMETERS angstrom
-1.2943 -0.9860 -2.2775
2.4436 -0.9553 -0.9751
-1.2286 -6.9084 3.6890
ATOMIC_POSITIONS crystal
Au 0.0000 0.0000 0.4981
Ir 0.5000 0.5000 0.7691
Re 0.0000 0.0000 0.9971
Re 0.5000 0.5000 0.2358

=====

Record 4
! PBE Re2IrAu, relaxed; values from VASP
! * formation energy from the elements: 0.2425 eV per atom
! * calculated volume: 15.45 Å³ per atom
! * space-group type: Cm
! * energy above the lowest structure with this stoichiometry: 36.8 kJ/mol of formula units
&SYSTEM
  ibrav = 0, nat = 4, ntyp = 3
/
ATOMIC_SPECIES
Au 196.97 Au.upf
Ir 192.22 Ir.upf
Re 186.21 Re.upf
CELL_PARAMETERS angstrom
-0.5348 2.9894 3.7852
1.4472 1.2074 4.4719
3.3928 3.3264 -1.1603
ATOMIC_POSITIONS crystal
Au 0.5001 0.5001 0.4994
Ir 0.2610 0.2610 0.2334
Re 0.9953 0.9953 0.9982
Re 0.7436 0.7436 0.7690

=====

Record 5
! PBE Re2IrAu, relaxed; values from VASP
! * formation energy from the elements: 0.2133 eV per atom
! * calculated volume: 15.47 Å³ per atom
! * space-group type: R-3m
! * energy above the lowest structure with this stoichiometry: 25.5 kJ/mol of formula units
&SYSTEM
  ibrav = 0, nat = 4, ntyp = 3
/
ATOMIC_SPECIES
Au 196.97 Au.upf
Ir 192.22 Ir.upf
Re 186.21 Re.upf
CELL_PARAMETERS angstrom
9.4021 -0.0081 -0.0048
8.9943 2.7391 -0.0048
8.9943 1.3352 2.3916
ATOMIC_POSITIONS crystal
Au 0.2500 0.2500 0.2500
Ir 0.7500 0.7500 0.7500
Re 0.0045 0.0045 0.0045
Re 0.4955 0.4955 0.4955

=====

Record 6
! PBE ReIr2Au, relaxed; values from VASP
! * formation energy from the elements: 0.2149 eV per atom
! * calculated volume: 15.36 Å³ per atom
! * space-group type: P4mm
! * energy above the lowest structure with this stoichiometry: 83.7 kJ/mol of formula units
&SYSTEM
  ibrav = 0, nat = 4, ntyp = 3
/
ATOMIC_SPECIES
Au 196.97 Au.upf
Ir 192.22 Ir.upf
Re 186.21 Re.upf
CELL_PARAMETERS angstrom
-0.9787 0.7716 -2.4739
-1.6342 -2.2362 -0.0509
-5.8121 4.1655 3.5985
ATOMIC_POSITIONS crystal
Au 0.5000 0.5000 0.7480
Ir 0.0000 0.0000 0.0115
Ir 0.5000 0.5000 0.2547
Re 0.0000 0.0000 0.4858

=====

Record 7
! PBE Re2IrAu, relaxed; values from VASP
! * formation energy from the elements: 0.3215 eV per atom
! * calculated volume: 15.34 Å³ per atom
! * space-group type: I-4m2
! * energy above the lowest structure with this stoichiometry: 67.2 kJ/mol of formula units
&SYSTEM
  ibrav = 0, nat = 4, ntyp = 3
/
ATOMIC_SPECIES
Au 196.97 Au.upf
Ir 192.22 Ir.upf
Re 186.21 Re.upf
CELL_PARAMETERS angstrom
4.8041 0.0084 0.0000
1.5213 4.5569 0.0000
-3.1627 -2.2826 2.8047
ATOMIC_POSITIONS crystal
Au 0.5000 0.5000 0.0000
Ir 0.7500 0.2500 0.5000
Re 0.0000 0.0000 0.0000
Re 0.2500 0.7500 0.5000

=====

Record 8
! PBE ReIr2Au, relaxed; values from VASP
! * formation energy from the elements: 0.6517 eV per atom
! * calculated volume: 15.64 Å³ per atom
! * space-group type: F-43m
! * energy above the lowest structure with this stoichiometry: 252.3 kJ/mol of formula units
&SYSTEM
  ibrav = 0, nat = 4, ntyp = 3
/
ATOMIC_SPECIES
Au 196.97 Au.upf
Ir 192.22 Ir.upf
Re 186.21 Re.upf
CELL_PARAMETERS angstrom
4.4558 0.0000 0.0000
2.2279 3.8588 0.0000
2.2279 1.2863 3.6381
ATOMIC_POSITIONS crystal
Au 0.5000 0.5000 0.5000
Ir 0.0000 0.0000 0.0000
Ir 0.2500 0.2500 0.2500
Re 0.7500 0.7500 0.7500

=====

Record 9
! PBE Re2IrAu, relaxed; values from VASP
! * formation energy from the elements: 0.5988 eV per atom
! * calculated volume: 15.71 Å³ per atom
! * space-group type: F-43m
! * energy above the lowest structure with this stoichiometry: 174.3 kJ/mol of formula units
&SYSTEM
  ibrav = 0, nat = 4, ntyp = 3
/
ATOMIC_SPECIES
Au 196.97 Au.upf
Ir 192.22 Ir.upf
Re 186.21 Re.upf
CELL_PARAMETERS angstrom
-3.1912 0.2940 -3.1058
-1.5151 -3.6912 -1.9989
-4.1149 -1.4859 0.8811
ATOMIC_POSITIONS crystal
Au 0.5000 0.5000 0.5000
Ir 0.7500 0.7500 0.7500
Re 0.0000 0.0000 0.0000
Re 0.2500 0.2500 0.2500

=====

Record 10
! PBE Re2IrAu, relaxed; values from VASP
! * formation energy from the elements: 0.4446 eV per atom
! * calculated volume: 16.26 Å³ per atom
! * space-group type: Imm2
! * energy above the lowest structure with this stoichiometry: 114.8 kJ/mol of formula units
&SYSTEM
  ibrav = 0, nat = 4, ntyp = 3
/
ATOMIC_SPECIES
Au 196.97 Au.upf
Ir 192.22 Ir.upf
Re 186.21 Re.upf
CELL_PARAMETERS angstrom
5.7232 0.0189 0.0011
3.1168 4.8001 -0.0011
-3.7815 -3.5808 2.3735
ATOMIC_POSITIONS crystal
Au 0.4865 0.4865 0.0000
Ir 0.2240 0.7240 0.5000
Re 0.0058 0.0058 0.0000
Re 0.7837 0.2837 0.5000

=====

Record 11
! PBE ReIr2Au, relaxed; values from VASP
! * formation energy from the elements: 0.4287 eV per atom
! * calculated volume: 15.82 Å³ per atom
! * space-group type: Cmm2
! * energy above the lowest structure with this stoichiometry: 166.2 kJ/mol of formula units
&SYSTEM
  ibrav = 0, nat = 4, ntyp = 3
/
ATOMIC_SPECIES
Au 196.97 Au.upf
Ir 192.22 Ir.upf
Re 186.21 Re.upf
CELL_PARAMETERS angstrom
2.7446 -0.0040 0.0000
-1.3605 2.3837 0.0000
0.0000 0.0000 9.6812
ATOMIC_POSITIONS crystal
Au 0.5000 0.5000 0.7504
Ir 0.0000 0.0000 0.0098
Ir 0.5000 0.5000 0.2534
Re 0.0000 0.0000 0.4864

=====

Record 12
! PBE Re2IrAu, relaxed; values from VASP
! * formation energy from the elements: 0.4056 eV per atom
! * calculated volume: 15.33 Å³ per atom
! * space-group type: P4/mmm
! * energy above the lowest structure with this stoichiometry: 99.7 kJ/mol of formula units
&SYSTEM
  ibrav = 0, nat = 4, ntyp = 3
/
ATOMIC_SPECIES
Au 196.97 Au.upf
Ir 192.22 Ir.upf
Re 186.21 Re.upf
CELL_PARAMETERS angstrom
-3.1151 1.4495 1.8069
-1.7863 -3.4308 -0.3274
1.5463 -1.1473 3.5862
ATOMIC_POSITIONS crystal
Au 0.5000 0.0000 0.5000
Ir 0.0000 0.5000 0.5000
Re 0.0000 0.0000 0.0000
Re 0.5000 0.5000 0.0000

=====

Record 13
! PBE Re4IrAu, relaxed; values from VASP
! * formation energy from the elements: 0.6451 eV per atom
! * calculated volume: 16.27 Å³ per atom
! * space-group type: F-43m
&SYSTEM
  ibrav = 0, nat = 6, ntyp = 3
/
ATOMIC_SPECIES
Re 186.21 Re.upf
Ir 192.22 Ir.upf
Au 196.97 Au.upf
CELL_PARAMETERS angstrom
0.0000 3.6549 3.6549
3.6549 0.0000 3.6549
3.6549 3.6549 0.0000
ATOMIC_POSITIONS crystal
Re 0.3754 0.8737 0.3754
Re 0.8737 0.3754 0.3754
Re 0.3754 0.3754 0.8737
Re 0.3754 0.3754 0.3754
Ir 0.0000 0.0000 0.0000
Au 0.7500 0.7500 0.7500

=====

Record 14
! PBE ReIr2Au, relaxed; values from VASP
! * formation energy from the elements: 0.5941 eV per atom
! * calculated volume: 15.79 Å³ per atom
! * space-group type: Fm-3m
! * energy above the lowest structure with this stoichiometry: 230.1 kJ/mol of formula units
&SYSTEM
  ibrav = 0, nat = 4, ntyp = 3
/
ATOMIC_SPECIES
Re 186.21 Re.upf
Ir 192.22 Ir.upf
Au 196.97 Au.upf
CELL_PARAMETERS angstrom
-0.3843 -2.9278 -3.3559
-3.0225 0.6784 -3.2228
1.3346 1.1283 -4.1143
ATOMIC_POSITIONS crystal
Re 0.0000 0.0000 0.0000
Ir 0.2500 0.2500 0.2500
Ir 0.7500 0.7500 0.7500
Au 0.5000 0.5000 0.5000

=====

Record 15
! PBE Re2IrAu, relaxed; values from VASP
! * formation energy from the elements: 1.4874 eV per atom
! * calculated volume: 22.57 Å³ per atom
! * space-group type: I-42d
! * energy above the lowest structure with this stoichiometry: 517.2 kJ/mol of formula units
&SYSTEM
  ibrav = 0, nat = 8, ntyp = 3
/
ATOMIC_SPECIES
Re 186.21 Re.upf
Ir 192.22 Ir.upf
Au 196.97 Au.upf
CELL_PARAMETERS angstrom
6.0267 0.0000 0.0000
0.0000 6.0267 0.0000
3.0133 3.0133 4.9716
ATOMIC_POSITIONS crystal
Re 0.6039 0.1250 0.2500
Re 0.1461 0.6250 0.2500
Re 0.3750 0.3961 0.7500
Re 0.8750 0.8539 0.7500
Ir 0.5000 0.5000 0.0000
Ir 0.2500 0.7500 0.5000
Au 0.0000 0.0000 0.0000
Au 0.7500 0.2500 0.5000